Computed, not measured: a relaxed VN2F6 crystal at the PBE+U level of DFT.

Output
Electronic total energy = -4.39 eV/atom
Total moment = 5.000 μB/f.u.
V = 14.638 Å³ per atom

abc: 8.0771 8.0771 8.0771
angles: 90.00 90.00 90.00
With the nearest neighbours (Å) after each atom.
Space group Fm-3m (No. 225)
Symmetry-distinct sites (fractional):
V1 0.0000 0.0000 0.0000 [4 per cell]  6 F 1.82
N1 0.2500 0.2500 0.2500 [8 per cell]  12 F 2.86
F1 0.0000 0.0000 0.2250 [24 per cell]  1 V 1.82